The following is a SCAN calculation of a PBEsol-optimized structure of SbTe2Cl, from the Alexandria database.

Calculated values
* formation energy from raw total energies: -72 meV/atom
* volume: 104.9 Å³ per cell
* E above lowest polymorph: 73 kJ/mol of formula units

Cell lengths 3.1410, 4.8028, 6.9503 Å; angles 90.00, 90.02, 90.00 degrees
Positions (direct):
Sb (0.0014, 0.5000, 0.2906)
Te (0.9997, 0.0000, 0.0123)
Te (0.9996, 0.5000, 0.7286)
Cl (0.4993, 0.0000, 0.4685)